[1]
TiZn3Br: relaxed, PBE.

## Properties
E_form (uncorrected) ... 5.165 eV/f.u.
Fermi-level density of states ... 3.55 states/eV/cell
V ... 25.8 A^3/atom
Density ... 4.17 g/cm3
E_tot ... -1.64 eV/atom
Polymorph energy (0 for the lowest one) ... 375.8 meV/atom

a b c (Å): 5.054 5.054 5.054
angles (deg): 90.00 90.00 90.00
Space group Pm-3m (No. 221)
Inequivalent atoms, fractional coordinates:
Ti 0.000 0.000 0.000 x1
Zn 0.000 0.500 0.500 x3
Br 0.500 0.500 0.500 x1

[2]
KSrInS3: relaxed, PBE.

## Properties
E_form (uncorrected) ... -6.776 eV/f.u.
V ... 28.8 A^3/atom
Density ... 3.25 g/cm3
E_tot ... -4.11 eV/atom

a b c (Å): 16.262 5.159 8.488
angles (deg): 90.00 104.14 90.00
Space group C2/m (No. 12)
Inequivalent atoms, fractional coordinates:
K 0.151 0.000 0.068 x4
Sr 0.149 0.000 0.574 x4
In 0.006 0.500 0.262 x4
S 0.004 0.000 0.272 x4
S 0.148 0.500 0.795 x4
S 0.162 0.500 0.347 x4

> Look up the E_form (uncorrected) of the second one.

-6.776 eV/f.u.

> Which formula does entry 1 have?

TiZn3Br

> Which formula does entry 2 have?

KSrInS3